VASP calculation (PBE-GGA) on a relaxed FeTc3S crystal.

For the distance to the lowest polymorph of the same formula, the calculation gives 431 kJ/mol of formula units. The raw total energy is -7.21 eV/atom. The value obtained for the uncorrected formation energy is 1.53 eV per atom. The value obtained for the spin magnetization is 1.104 μB per cell.

The space group is Pm-3m (No. 221) and the conventional cell measures 4.418, 4.418 and 4.418 Å, with angles of 90.00, 90.00 and 90.00 degrees. The asymmetric unit holds Fe at (0.000, 0.000, 0.000), Tc at (0.000, 0.000, 0.500) and S at (0.500, 0.500, 0.500).